A plane-wave DFT calculation with PBE was carried out for a geometry-optimized CaSc2Be structure.

Properties
- V: 23.5 Å³/atom
- Formation energy: 108.1 meV per atom
- Total DFT energy (no corrections): -4.490 eV per atom
- Space-group type: P4/mmm (123)

Unit cell a=3.290 b=3.290 c=8.685 alpha=90.00 beta=90.00 gamma=90.01
Element x y z (fractional)
Sc 0.000 0.000 0.078
Sc 0.000 0.000 0.422
Be 0.500 0.500 0.250
Ca 0.500 0.500 0.750

A plane-wave DFT calculation with PBE was carried out for a geometry-optimized CaSc2Be structure.

Properties
- V: 22.9 Å³/atom
- Formation energy: 415.3 meV per atom
- Total DFT energy (no corrections): -4.182 eV per atom
- Space-group type: F-43m (216)

Unit cell a=5.057 b=5.057 c=5.057 alpha=60.00 beta=60.00 gamma=60.00
Element x y z (fractional)
Sc 0.000 0.000 0.000
Sc 0.750 0.750 0.750
Be 0.500 0.500 0.500
Ca 0.250 0.250 0.250

A plane-wave DFT calculation with PBE was carried out for a geometry-optimized CaSc2Be structure.

Properties
- V: 23.4 Å³/atom
- Formation energy: 478.6 meV per atom
- Total DFT energy (no corrections): -4.119 eV per atom
- Space-group type: C2/m (12)

Unit cell a=6.174 b=6.174 c=3.191 alpha=77.31 beta=77.31 gamma=120.73
Element x y z (fractional)
Sc 0.000 0.000 0.000
Sc 0.500 0.500 0.000
Be 0.500 0.000 0.500
Ca 0.000 0.500 0.500

A plane-wave DFT calculation with PBE was carried out for a geometry-optimized Ca2ScBe structure.

Properties
- V: 28.2 Å³/atom
- Formation energy: 555.5 meV per atom
- Total DFT energy (no corrections): -2.960 eV per atom
- Space-group type: I-42d (122)

Unit cell a=8.663 b=8.663 c=6.824 alpha=50.60 beta=50.60 gamma=90.00
Element x y z (fractional)
Sc 0.000 0.000 0.000
Sc 0.750 0.250 0.500
Be 0.500 0.500 0.000
Be 0.250 0.750 0.500
Ca 0.554 0.125 0.250
Ca 0.196 0.625 0.250
Ca 0.375 0.446 0.750
Ca 0.875 0.804 0.750

A plane-wave DFT calculation with PBE was carried out for a geometry-optimized CaScBe2 structure.

Properties
- V: 21.2 Å³/atom
- Formation energy: 739.1 meV per atom
- Total DFT energy (no corrections): -3.207 eV per atom
- Space-group type: I-42d (122)

Unit cell a=7.337 b=7.337 c=6.071 alpha=52.82 beta=52.82 gamma=90.00
Element x y z (fractional)
Sc 0.000 0.000 0.000
Sc 0.750 0.250 0.500
Be 0.652 0.125 0.250
Be 0.098 0.625 0.250
Be 0.375 0.348 0.750
Be 0.875 0.902 0.750
Ca 0.500 0.500 0.000
Ca 0.250 0.750 0.500

A plane-wave DFT calculation with PBE was carried out for a geometry-optimized CaSc2Be structure.

Properties
- V: 23.3 Å³/atom
- Formation energy: 180.7 meV per atom
- Total DFT energy (no corrections): -4.417 eV per atom
- Space-group type: Immm (71)

Unit cell a=6.231 b=6.231 c=5.170 alpha=65.50 beta=65.50 gamma=31.01
Element x y z (fractional)
Sc 0.050 0.050 0.950
Sc 0.450 0.450 0.550
Be 0.750 0.750 0.750
Ca 0.250 0.250 0.250

A plane-wave DFT calculation with PBE was carried out for a geometry-optimized CaSc2Be structure.

Properties
- V: 23.1 Å³/atom
- Formation energy: 266.5 meV per atom
- Total DFT energy (no corrections): -4.331 eV per atom
- Space-group type: Cm (8)

Unit cell a=6.227 b=6.227 c=4.913 alpha=66.77 beta=66.77 gamma=32.19
Element x y z (fractional)
Sc 0.998 0.998 0.002
Sc 0.808 0.808 0.692
Be 0.487 0.487 0.514
Ca 0.207 0.207 0.293

A plane-wave DFT calculation with PBE was carried out for a geometry-optimized Ca2ScBe structure.

Properties
- V: 27.1 Å³/atom
- Formation energy: 168.3 meV per atom
- Total DFT energy (no corrections): -3.347 eV per atom
- Space-group type: P4mm (99)

Unit cell a=3.447 b=3.448 c=9.743 alpha=69.23 beta=90.00 gamma=90.00
Element x y z (fractional)
Sc 0.000 0.423 0.577
Be 0.500 0.784 0.715
Ca 0.000 0.074 0.927
Ca 0.500 0.219 0.281

A plane-wave DFT calculation with PBE was carried out for a geometry-optimized CaSc2Be structure.

Properties
- V: 23.7 Å³/atom
- Formation energy: 341.9 meV per atom
- Total DFT energy (no corrections): -4.256 eV per atom
- Space-group type: P2/m (10)

Unit cell a=4.532 b=3.468 c=6.297 alpha=73.56 beta=90.00 gamma=90.00
Element x y z (fractional)
Sc 0.000 0.080 0.047
Sc 0.000 0.420 0.453
Be 0.500 0.250 0.250
Ca 0.500 0.750 0.750

A plane-wave DFT calculation with PBE was carried out for a geometry-optimized CaSc4Be structure.

Properties
- V: 25.4 Å³/atom
- Formation energy: 535.1 meV per atom
- Total DFT energy (no corrections): -4.641 eV per atom
- Space-group type: F-43m (216)

Unit cell a=5.993 b=5.993 c=5.993 alpha=60.00 beta=60.00 gamma=60.00
Element x y z (fractional)
Ca 0.000 0.000 0.000
Sc 0.871 0.376 0.376
Sc 0.376 0.376 0.871
Sc 0.376 0.871 0.376
Sc 0.376 0.376 0.376
Be 0.750 0.750 0.750

A plane-wave DFT calculation with PBE was carried out for a geometry-optimized Ca2ScBe structure.

Properties
- V: 29.0 Å³/atom
- Formation energy: 341.6 meV per atom
- Total DFT energy (no corrections): -3.174 eV per atom
- Space-group type: R3m (160)

Unit cell a=10.262 b=10.262 c=10.262 alpha=20.52 beta=20.52 gamma=20.52
Element x y z (fractional)
Sc 0.476 0.476 0.476
Be 0.757 0.757 0.757
Ca 0.023 0.023 0.023
Ca 0.244 0.244 0.244

A plane-wave DFT calculation with PBE was carried out for a geometry-optimized Ca2ScBe structure.

Properties
- V: 27.0 Å³/atom
- Formation energy: 350.3 meV per atom
- Total DFT energy (no corrections): -3.165 eV per atom
- Space-group type: P4/mmm (123)

Unit cell a=3.463 b=3.463 c=8.994 alpha=90.00 beta=90.00 gamma=90.00
Element x y z (fractional)
Sc 0.500 0.500 0.250
Be 0.500 0.500 0.750
Ca 0.000 0.000 0.946
Ca 0.000 0.000 0.554